{
  "formula": "SrCrAs2",
  "functional": "GGA-PBE",
  "state": "optimized geometry",
  "cell": [[0.000, 3.566, 3.566], [3.566, 0.000, 3.566], [3.566, 3.566, 0.000]],
  "species": ["Sr", "Cr", "As", "As"],
  "frac_coords": [[0.000, 0.000, 0.000], [0.750, 0.750, 0.750], [0.250, 0.250, 0.250], [0.500, 0.500, 0.500]]
}

***

{
  "formula": "SrCrAs2",
  "functional": "GGA-PBE",
  "state": "optimized geometry",
  "cell": [[-2.122, 3.078, 3.659], [2.122, -3.078, 3.659], [2.122, 3.078, -3.659]],
  "species": ["Sr", "Cr", "As", "As"],
  "frac_coords": [[0.000, 0.000, 0.000], [0.500, 0.500, 0.000], [0.311, 0.811, 0.500], [0.689, 0.189, 0.500]]
}

***

Polymorph energy (0 for the lowest one)
In order: 3.02; 0.76
Unit: eV per formula unit
Total moment
In order: 4.16; 3.05
Unit: μB per formula unit